Here is a relaxed Zn8Cu6Ni crystal from Alexandria via LeMat-Bulk. Energies are from PBE.

Cell: 5.0042 7.1022 7.1022 Å, 120.00 90.00 90.00°
With the nearest neighbours (Å) after each atom.
Fractional coordinates of all 15 atoms:
Zn 0.8607 0.0000 0.3260  5 Cu 2.50-2.67, 2 Zn 2.70
Zn 0.8607 0.6740 0.6740  5 Cu 2.50-2.67, 2 Zn 2.70
Zn 0.8607 0.3260 0.0000  5 Cu 2.50-2.67, 2 Zn 2.70
Zn 0.1393 0.0000 0.6740  5 Cu 2.50-2.67, 2 Zn 2.70
Zn 0.1393 0.3260 0.3260  5 Cu 2.50-2.67, 2 Zn 2.70
Zn 0.1393 0.6740 0.0000  5 Cu 2.50-2.67, 2 Zn 2.70
Zn 0.5014 0.3333 0.6667  6 Cu 2.48
Zn 0.4986 0.6667 0.3333  6 Cu 2.48
Cu 0.6402 0.6688 0.0002  1 Ni 2.46, 7 Zn 2.48-2.67, 2 Cu 2.74
Cu 0.6402 0.9998 0.6686  1 Ni 2.46, 7 Zn 2.48-2.67, 2 Cu 2.74
Cu 0.6402 0.3314 0.3312  1 Ni 2.46, 7 Zn 2.48-2.67, 2 Cu 2.74
Cu 0.3598 0.3312 0.9998  1 Ni 2.46, 7 Zn 2.48-2.67, 2 Cu 2.74
Cu 0.3598 0.0002 0.3314  1 Ni 2.46, 7 Zn 2.48-2.67, 2 Cu 2.74
Cu 0.3598 0.6686 0.6688  1 Ni 2.46, 7 Zn 2.48-2.67, 2 Cu 2.74
Ni 0.5000 0.0000 0.0000  6 Cu 2.46

Properties
The formation energy comes out at 1.1 kJ per mole of atoms. Its calculated density is 7.3 Mg/m³. As for the space-group type: No. 147. The crystal system is trigonal.